Entry from the Open Quantum Materials Database: a geometry-optimized Tb2YAl3NiGe2 structure (PBE-GGA).

Computed properties:
Final energy: -5.389 eV/atom

Cell lengths 4.1889, 6.9632, 6.9632 Å; angles 119.99, 90.00, 90.00 degrees
Closest atoms and distances in Å follow each position.
Atoms (fractional coordinates):
Tb 0.0000 0.2013 0.7987  1 Ni 2.80, 4 Ge 2.98
Tb 0.0000 0.7987 0.2013  1 Ni 2.80, 4 Ge 2.98
Y 0.0000 0.6042 0.6042  1 Ni 2.81, 4 Ge 2.98
Al 0.5000 0.2015 0.4303  2 Ni 2.63, 2 Ge 2.76, 2 Al 2.76
Al 0.5000 0.4303 0.2015  2 Ni 2.63, 2 Ge 2.76, 2 Al 2.76
Al 0.5000 0.9724 0.9724  2 Ni 2.63, 2 Ge 2.76, 2 Al 2.76
Ni 0.0000 0.2012 0.2012  6 Al 2.63, 2 Tb 2.80, 1 Y 2.81
Ge 0.5000 0.5348 0.8678  3 Al 2.76, 2 Y 2.98, 4 Tb 2.98
Ge 0.5000 0.8678 0.5348  3 Al 2.76, 2 Y 2.98, 4 Tb 2.98